Record 1
The following is a PBE-GGA calculation of an optimized crystal structure of LaGdPdPt, from Alexandria.

```
LaGdPdPt
1.0
5.0956 0.0000 0.0000
2.5478 4.4129 0.0000
2.5478 1.4710 4.1605
Gd Pd Pt La
1 1 1 1
Cartesian
5.0956 2.9419 2.0803
2.5478 1.4710 1.0401
7.6434 4.4129 3.1204
0.0000 0.0000 0.0000
```

## Properties
E_form = -3.82 eV/f.u.
crystal system = cubic
V = 23.4 Å³ per atom
total magnetization = 7.2 μB per cell

***

Record 2
The following is a PBE-GGA calculation of an optimized crystal structure of LaGdSiPd, from Alexandria.

```
LaGdSiPd
1.0
5.1356 0.0000 0.0000
2.5678 4.4475 0.0000
2.5678 1.4825 4.1932
Si Gd Pd La
1 1 1 1
Cartesian
2.5678 1.4825 1.0483
5.1356 2.9650 2.0966
7.7034 4.4475 3.1449
0.0000 0.0000 0.0000
```

## Properties
crystal system = cubic
V = 23.9 Å³ per atom
energy relative to the elements, uncorrected = -2.7 eV per formula unit
total magnetization = 7.2 μB per cell

***

Record 3
The following is a PBE-GGA calculation of an optimized crystal structure of LaGdSnPd, from Alexandria.

```
LaGdSnPd
1.0
5.3259 0.0000 0.0000
2.6629 4.6123 0.0000
2.6629 1.5374 4.3486
Gd Sn Pd La
1 1 1 1
Cartesian
0.0000 0.0000 0.0000
2.6629 1.5374 1.0871
7.9888 4.6123 3.2614
5.3259 3.0749 2.1743
```

## Properties
E_form = -2.84 eV/f.u.
crystal system = cubic
V = 26.7 Å³ per atom
total magnetization = 7.2 μB per cell

***

Record 4
The following is a PBE-GGA calculation of an optimized crystal structure of LaGdTlPd, from Alexandria.

```
LaGdTlPd
1.0
-3.4011 -2.8511 -2.9635
1.5269 -1.8682 -4.7600
0.7948 -5.2327 -0.6828
Tl Gd Pd La
1 1 1 1
Cartesian
-0.2699 -2.4880 -2.1015
0.0000 0.0000 0.0000
-0.8096 -7.4641 -6.3046
-0.5397 -4.9760 -4.2031
```

## Properties
E_form = -2.04 eV/f.u.
crystal system = cubic
V = 26.9 Å³ per atom
total magnetization = 7.3 μB per cell

***

Record 5
The following is a PBE-GGA calculation of an optimized crystal structure of LaPmGd2, from Alexandria.

```
LaPmGd2
1.0
-4.9363 2.4300 1.8089
-4.9115 -0.8880 -2.9381
-4.1834 -3.2932 2.2800
Gd La Pm
2 1 1
Cartesian
-3.5078 -0.4378 0.2877
-10.5234 -1.3134 0.8631
0.0000 0.0000 0.0000
-7.0156 -0.8756 0.5754
```

## Properties
E_form = 0.37 eV/f.u.
offset from the most stable computed form = 0.29 eV/f.u.
crystal system = cubic
V = 34.3 Å³ per atom
total magnetization = 16.1 μB per cell

***

Record 6
The following is a PBE-GGA calculation of an optimized crystal structure of La2PmGd, from Alexandria.

```
La2PmGd
1.0
5.1494 0.0000 0.0000
0.0000 5.2247 0.0000
0.0000 0.0000 5.2247
Gd La Pm
1 2 1
Cartesian
2.5747 0.0000 0.0000
0.0000 0.0000 2.6123
0.0000 2.6123 0.0000
2.5747 2.6123 2.6123
```

## Properties
E_form = 0.05 eV/f.u.
offset from the most stable computed form = 0.00 eV/f.u.
crystal system = tetragonal
V = 35.1 Å³ per atom
total magnetization = 7.4 μB per cell

***

Record 7
The following is a PBE-GGA calculation of an optimized crystal structure of LaPmGd2, from Alexandria.

```
LaPmGd2
1.0
3.6473 0.0000 0.0000
0.0000 3.6473 0.0000
0.0000 0.0000 10.2532
Gd La Pm
2 1 1
Cartesian
0.0000 0.0000 7.7298
0.0000 0.0000 2.5234
1.8237 1.8237 5.1266
1.8237 1.8237 0.0000
```

## Properties
E_form = 0.09 eV/f.u.
offset from the most stable computed form = 0.01 eV/f.u.
crystal system = tetragonal
V = 34.1 Å³ per atom
total magnetization = 14.8 μB per cell

***

Record 8
The following is a PBE-GGA calculation of an optimized crystal structure of La2PmGd, from Alexandria.

```
La2PmGd
1.0
5.8630 0.0000 0.0000
2.9315 5.0775 0.0000
2.9315 1.6925 4.7871
Gd La Pm
1 2 1
Cartesian
5.8630 3.3850 2.3936
2.9315 1.6925 1.1968
8.7945 5.0775 3.5903
0.0000 0.0000 0.0000
```

## Properties
E_form = 0.41 eV/f.u.
offset from the most stable computed form = 0.36 eV/f.u.
crystal system = cubic
V = 35.6 Å³ per atom
total magnetization = 8.1 μB per cell

***

Record 9
The following is a PBE-GGA calculation of an optimized crystal structure of La2PmGd, from Alexandria.

```
La2PmGd
1.0
3.6977 0.0000 0.0000
0.0000 3.6977 0.0000
0.0000 0.0000 10.3249
Gd La Pm
1 2 1
Cartesian
1.8489 1.8489 0.0000
0.0000 0.0000 7.7522
0.0000 0.0000 2.5727
1.8489 1.8489 5.1625
```

## Properties
E_form = 0.06 eV/f.u.
offset from the most stable computed form = 0.01 eV/f.u.
crystal system = tetragonal
V = 35.3 Å³ per atom
total magnetization = 7.6 μB per cell

***

Record 10
The following is a PBE-GGA calculation of an optimized crystal structure of LaPmGd2, from Alexandria.

```
LaPmGd2
1.0
3.5454 0.0000 0.0000
1.7727 3.0704 0.0000
1.7727 1.0235 12.6018
Gd La Pm
2 1 1
Cartesian
1.7727 1.0235 9.2075
5.3181 3.0704 3.3943
0.0000 0.0000 0.0000
3.5454 2.0470 6.3009
```

## Properties
E_form = 0.52 eV/f.u.
offset from the most stable computed form = 0.44 eV/f.u.
crystal system = trigonal
V = 34.3 Å³ per atom
total magnetization = 15.1 μB per cell

***

Record 11
The following is a PBE-GGA calculation of an optimized crystal structure of LaPmGd2, from Alexandria.

```
LaPmGd2
1.0
-3.1710 0.8783 -3.9407
0.3114 -4.9603 -1.3562
-4.0395 -1.0767 3.0106
Gd La Pm
2 1 1
Cartesian
-2.0198 -0.5384 1.5053
0.1557 -2.4801 -0.6781
-1.5855 0.4392 -1.9704
-3.4496 -2.5793 -1.1432
```

## Properties
E_form = 0.08 eV/f.u.
offset from the most stable computed form = 0.00 eV/f.u.
crystal system = tetragonal
V = 34.1 Å³ per atom
total magnetization = 14.8 μB per cell

***

Record 12
The following is a PBE-GGA calculation of an optimized crystal structure of LaPmPrGd, from Alexandria.

```
LaPmPrGd
1.0
-4.5250 3.6673 -0.4876
-4.3952 -0.2541 3.8446
-0.7191 4.2897 3.9044
Pr Gd La Pm
1 1 1 1
Cartesian
-7.2294 5.7772 5.4460
0.0000 0.0000 0.0000
-2.4098 1.9257 1.8153
-4.8196 3.8515 3.6307
```

## Properties
E_form = 0.44 eV/f.u.
offset from the most stable computed form = 0.00 eV/f.u.
crystal system = cubic
V = 35.3 Å³ per atom
total magnetization = 8.2 μB per cell